Record 1
The following is a DFT calculation (GGA-PBE) of a relaxed Nd6P2AuSe3 crystal.

The crystal system is monoclinic. Its mass density is 7.041 Mg/m³. The magnetization comes out at 0.0 μB/cell. The uncorrected formation energy comes out at -19.17 eV per formula unit.

Cell lengths 9.464, 9.464, 8.538 Å; angles 103.04, 103.04, 25.56 degrees
Atoms (fractional coordinates):
Nd: 0.005 0.005 0.256
Nd: 0.329 0.329 0.426
Nd: 0.330 0.330 0.901
Nd: 0.670 0.670 0.099
Nd: 0.671 0.671 0.574
Nd: 0.995 0.995 0.744
P: 0.167 0.167 0.335
P: 0.833 0.833 0.665
Au: 0.500 0.500 0.000
Se: 0.166 0.166 0.833
Se: 0.500 0.500 0.500
Se: 0.834 0.834 0.167

Record 2
The following is a DFT calculation (GGA-PBE) of a relaxed LiTaS2N crystal.

The crystal system is tetragonal. Its mass density is 6.721 Mg/m³. The energy above the most stable polymorph in this dataset comes out at 6.25 eV/f.u. The magnetization comes out at 0.0 μB/cell. The uncorrected formation energy comes out at 3.84 eV per formula unit.

Cell lengths 4.406, 4.406, 3.386 Å; angles 90.00, 90.00, 90.00 degrees
Atoms (fractional coordinates):
Li: 0.000 0.000 0.000
Ta: 0.500 0.500 0.500
S: 0.000 0.500 0.000
S: 0.500 0.000 0.000
N: 0.000 0.000 0.500

> Which value of magnetization does entry 1 give?

0.0 μB/cell

> Which value of mass density does entry 2 give?

6.721 Mg/m³